## CoTc2Ag (SCAN)

Data for a crystal of CoTc2Ag relaxed with PBEsol.

```
data_CoTc2Ag
_cell_length_a 3.663
_cell_length_b 3.663
_cell_length_c 4.025
_cell_angle_alpha 90.00
_cell_angle_beta 90.00
_cell_angle_gamma 90.00
_space_group_name_H-M_alt 'P 4/m m m'
_space_group_IT_number 123
_space_group_name_Hall '-P 4 2'
loop_
_atom_site_label
_atom_site_type_symbol
_atom_site_fract_x
_atom_site_fract_y
_atom_site_fract_z
Co1 Co 0.000 0.000 0.000
Tc1 Tc 0.000 0.500 0.500
Ag1 Ag 0.500 0.500 0.000
```

**Total energy**: -29.250 eV/atom
**ΔH_f (0 K)**: 0.45 eV/atom

## CoTc2Ag (SCAN)

Data for a crystal of CoTc2Ag relaxed with PBEsol.

```
data_CoTc2Ag
_cell_length_a 2.650
_cell_length_b 3.857
_cell_length_c 5.346
_cell_angle_alpha 90.00
_cell_angle_beta 90.00
_cell_angle_gamma 90.00
_space_group_name_H-M_alt 'P m m m'
_space_group_IT_number 47
loop_
_space_group_symop_operation_xyz
'x,y,z'
'-x,-y,-z'
'-x,-y,z'
'x,y,-z'
'x,-y,-z'
'-x,y,z'
'-x,y,-z'
'x,-y,z'
loop_
_atom_site_label
_atom_site_type_symbol
_atom_site_fract_x
_atom_site_fract_y
_atom_site_fract_z
Co1 Co 0.000 0.000 0.000
Tc1 Tc 0.500 0.500 0.216
Ag1 Ag 0.000 0.000 0.500
```

**Total energy**: -29.291 eV/atom
**ΔH_f (0 K)**: 0.41 eV/atom

## Co2TcAg (SCAN)

Data for a crystal of Co2TcAg relaxed with PBEsol.

```
data_Co2TcAg
_cell_length_a 2.600
_cell_length_b 3.639
_cell_length_c 5.413
_cell_angle_alpha 90.00
_cell_angle_beta 90.00
_cell_angle_gamma 90.00
_space_group_name_H-M_alt 'P m m 2'
_space_group_IT_number 25
loop_
_space_group_symop_operation_xyz
'x,y,z'
'-x,-y,z'
'-x,y,z'
'x,-y,z'
loop_
_atom_site_label
_atom_site_type_symbol
_atom_site_fract_x
_atom_site_fract_y
_atom_site_fract_z
Co1 Co 0.000 0.000 0.000
Co2 Co 0.500 0.500 0.225
Tc1 Tc 0.000 0.000 0.430
Ag1 Ag 0.500 0.500 0.737
```

**Total energy**: -24.810 eV/atom
**ΔH_f (0 K)**: 0.45 eV/atom

## CoAgTe2 (SCAN)

Data for a crystal of CoAgTe2 relaxed with PBEsol.

```
data_CoAgTe2
_cell_length_a 3.7050
_cell_length_b 3.7050
_cell_length_c 23.7728
_cell_angle_alpha 90.00
_cell_angle_beta 90.00
_cell_angle_gamma 120.00
_space_group_name_H-M_alt 'R -3 m'
_space_group_IT_number 166
_space_group_name_Hall '-R 3 2"'
loop_
_atom_site_label
_atom_site_type_symbol
_atom_site_fract_x
_atom_site_fract_y
_atom_site_fract_z
Co1 Co 0.0000 0.0000 0.0000
Ag1 Ag 0.0000 0.0000 0.5000
Te1 Te 0.0000 0.0000 0.3885
```

**Total energy**: -30.849 eV/atom
**Formation energy without anion corrections**: -0.055 eV/atom

## CoAgTe2 (SCAN)

Data for a crystal of CoAgTe2 relaxed with PBEsol.

```
data_CoAgTe2
_cell_length_a 6.896
_cell_length_b 6.896
_cell_length_c 6.896
_cell_angle_alpha 90.00
_cell_angle_beta 90.00
_cell_angle_gamma 90.00
_space_group_name_H-M_alt 'F -4 3 m'
_space_group_IT_number 216
_space_group_name_Hall 'F -4 2 3'
loop_
_atom_site_label
_atom_site_type_symbol
_atom_site_fract_x
_atom_site_fract_y
_atom_site_fract_z
Co1 Co 0.000 0.000 0.000
Ag1 Ag 0.250 0.250 0.250
Te1 Te 0.000 0.000 0.500
Te2 Te 0.250 0.250 0.750
```

**Total energy**: -30.049 eV/atom
**Formation energy without anion corrections**: 0.744 eV/atom

## CoAgTe2 (SCAN)

Data for a crystal of CoAgTe2 relaxed with PBEsol.

```
data_CoAgTe2
_cell_length_a 6.076
_cell_length_b 6.076
_cell_length_c 10.990
_cell_angle_alpha 90.00
_cell_angle_beta 90.00
_cell_angle_gamma 90.00
_space_group_name_H-M_alt 'I -4 2 d'
_space_group_IT_number 122
_space_group_name_Hall 'I -4 2bw'
loop_
_atom_site_label
_atom_site_type_symbol
_atom_site_fract_x
_atom_site_fract_y
_atom_site_fract_z
Co1 Co 0.000 0.000 0.000
Ag1 Ag 0.000 0.000 0.500
Te1 Te 0.202 0.250 0.125
```

**Total energy**: -30.676 eV/atom
**Formation energy without anion corrections**: 0.117 eV/atom

## TlCo2Ag (SCAN)

Data for a crystal of TlCo2Ag relaxed with PBEsol.

```
data_TlCo2Ag
_cell_length_a 2.8957
_cell_length_b 2.8957
_cell_length_c 25.1858
_cell_angle_alpha 90.00
_cell_angle_beta 90.00
_cell_angle_gamma 120.00
_space_group_name_H-M_alt 'R -3 m'
_space_group_IT_number 166
_space_group_name_Hall '-R 3 2"'
loop_
_atom_site_label
_atom_site_type_symbol
_atom_site_fract_x
_atom_site_fract_y
_atom_site_fract_z
Tl1 Tl 0.0000 0.0000 0.0000
Co1 Co 0.0000 0.0000 0.2485
Ag1 Ag 0.0000 0.0000 0.5000
```

**Total energy**: -33.918 eV/atom
**ΔH_f (0 K)**: 0.67 eV/atom

## TlCo2Ag (SCAN)

Data for a crystal of TlCo2Ag relaxed with PBEsol.

```
data_TlCo2Ag
_cell_length_a 2.9019
_cell_length_b 2.9019
_cell_length_c 25.9657
_cell_angle_alpha 90.00
_cell_angle_beta 90.00
_cell_angle_gamma 120.00
_space_group_name_H-M_alt 'R 3 m'
_space_group_IT_number 160
_space_group_name_Hall 'R 3 -2"'
loop_
_atom_site_label
_atom_site_type_symbol
_atom_site_fract_x
_atom_site_fract_y
_atom_site_fract_z
Tl1 Tl 0.0000 0.0000 0.0000
Co1 Co 0.0000 0.0000 0.4837
Co2 Co 0.0000 0.0000 0.7553
Ag1 Ag 0.0000 0.0000 0.2325
```

**Total energy**: -34.031 eV/atom
**ΔH_f (0 K)**: 0.55 eV/atom

## CoAgW3 (SCAN)

Data for a crystal of CoAgW3 relaxed with PBEsol.

```
data_CoAgW3
_cell_length_a 4.413
_cell_length_b 4.413
_cell_length_c 4.413
_cell_angle_alpha 90.00
_cell_angle_beta 90.00
_cell_angle_gamma 90.00
_space_group_name_H-M_alt 'P m -3 m'
_space_group_IT_number 221
_space_group_name_Hall '-P 4 2 3'
loop_
_atom_site_label
_atom_site_type_symbol
_atom_site_fract_x
_atom_site_fract_y
_atom_site_fract_z
Co1 Co 0.000 0.000 0.000
Ag1 Ag 0.500 0.500 0.500
W1 W 0.000 0.000 0.500
```

**Total energy**: -49.918 eV/atom
**ΔH_f (0 K)**: 1.63 eV/atom

## CoAgW (SCAN)

Data for a crystal of CoAgW relaxed with PBEsol.

```
data_CoAgW
_cell_length_a 5.855
_cell_length_b 5.855
_cell_length_c 5.855
_cell_angle_alpha 90.00
_cell_angle_beta 90.00
_cell_angle_gamma 90.00
_space_group_name_H-M_alt 'F -4 3 m'
_space_group_IT_number 216
_space_group_name_Hall 'F -4 2 3'
loop_
_atom_site_label
_atom_site_type_symbol
_atom_site_fract_x
_atom_site_fract_y
_atom_site_fract_z
Co1 Co 0.000 0.000 0.000
Ag1 Ag 0.000 0.000 0.500
W1 W 0.250 0.250 0.250
```

**Total energy**: -38.076 eV/atom
**ΔH_f (0 K)**: 1.38 eV/atom

## Co2AgW (SCAN)

Data for a crystal of Co2AgW relaxed with PBEsol.

```
data_Co2AgW
_cell_length_a 2.650
_cell_length_b 3.752
_cell_length_c 5.275
_cell_angle_alpha 90.00
_cell_angle_beta 90.00
_cell_angle_gamma 90.00
_space_group_name_H-M_alt 'P m m 2'
_space_group_IT_number 25
loop_
_space_group_symop_operation_xyz
'x,y,z'
'-x,-y,z'
'-x,y,z'
'x,-y,z'
loop_
_atom_site_label
_atom_site_type_symbol
_atom_site_fract_x
_atom_site_fract_y
_atom_site_fract_z
Co1 Co 0.000 0.000 0.000
Co2 Co 0.500 0.500 0.232
Ag1 Ag 0.500 0.500 0.746
W1 W 0.000 0.000 0.440
```

**Total energy**: -33.396 eV/atom
**ΔH_f (0 K)**: 0.52 eV/atom

## Co2AgW (SCAN)

Data for a crystal of Co2AgW relaxed with PBEsol.

```
data_Co2AgW
_cell_length_a 5.487
_cell_length_b 6.966
_cell_length_c 2.685
_cell_angle_alpha 90.00
_cell_angle_beta 90.00
_cell_angle_gamma 90.00
_space_group_name_H-M_alt 'C m m m'
_space_group_IT_number 65
_space_group_name_Hall '-C 2 2'
loop_
_atom_site_label
_atom_site_type_symbol
_atom_site_fract_x
_atom_site_fract_y
_atom_site_fract_z
Co1 Co 0.250 0.250 0.000
Ag1 Ag 0.000 0.000 0.500
W1 W 0.000 0.500 0.500
```

**Total energy**: -33.292 eV/atom
**ΔH_f (0 K)**: 0.62 eV/atom